# Rb2TbMnSe4 (GGA-PBE, relaxed)
# Magnetic moment (μB per formula unit): 3.999
# Energy relative to the elements, uncorrected (kJ/mol of formula units): -845.2
data_Rb2TbMnSe4
_cell_length_a 8.5058
_cell_length_b 8.6809
_cell_length_c 12.7236
_cell_angle_alpha 90.00
_cell_angle_beta 90.00
_cell_angle_gamma 90.00
_space_group_name_H-M_alt 'I m m a'
_space_group_IT_number 74
_space_group_name_Hall '-I 2b 2'
loop_
_atom_site_label
_atom_site_type_symbol
_atom_site_fract_x
_atom_site_fract_y
_atom_site_fract_z
Rb1 Rb 0.0000 0.0000 0.0000
Rb2 Rb 0.2500 0.2500 0.2500
Tb1 Tb 0.0000 0.0000 0.5000
Mn1 Mn 0.2500 0.2500 0.7500
Se1 Se 0.0000 0.0649 0.7361
Se2 Se 0.2187 0.2500 0.5120

# Zn2In2F5 (GGA-PBE, relaxed)
# Magnetic moment (μB per formula unit): 0.000
# Energy relative to the elements, uncorrected (kJ/mol of formula units): -1509.1
data_Zn2In2F5
_cell_length_a 5.1455
_cell_length_b 5.2073
_cell_length_c 5.9395
_cell_angle_alpha 90.00
_cell_angle_beta 90.26
_cell_angle_gamma 92.57
_space_group_name_H-M_alt 'P 1'
_space_group_IT_number 1
_space_group_name_Hall 'P 1'
loop_
_atom_site_label
_atom_site_type_symbol
_atom_site_fract_x
_atom_site_fract_y
_atom_site_fract_z
Zn1 Zn 0.0000 0.0000 0.0000
Zn2 Zn 0.0015 0.0010 0.5884
In1 In 0.2375 0.4725 0.7961
In2 In 0.5670 0.4486 0.2930
F1 F 0.1533 0.0988 0.2944
F2 F 0.6540 0.1318 0.0552
F3 F 0.6551 0.1343 0.5327
F4 F 0.9246 0.6230 0.0508
F5 F 0.9253 0.6241 0.5369

# Ce2Al4CuPt3 (GGA-PBE, relaxed)
# ΔE_f (eV per atom): -0.92
# Magnetic moment (μB per formula unit): 1.280
data_Ce2Al4CuPt3
_cell_length_a 4.2667
_cell_length_b 4.2667
_cell_length_c 10.3699
_cell_angle_alpha 90.00
_cell_angle_beta 90.00
_cell_angle_gamma 90.00
_space_group_name_H-M_alt 'P -4 m 2'
_space_group_IT_number 115
_space_group_name_Hall 'P -4 -2'
loop_
_atom_site_label
_atom_site_type_symbol
_atom_site_fract_x
_atom_site_fract_y
_atom_site_fract_z
Ce1 Ce 0.0000 0.5000 0.2492
Al1 Al 0.0000 0.0000 0.5000
Al2 Al 0.0000 0.5000 0.8753
Al3 Al 0.5000 0.5000 0.5000
Cu1 Cu 0.5000 0.5000 0.0000
Pt1 Pt 0.0000 0.0000 0.0000
Pt2 Pt 0.0000 0.5000 0.6353

# Sr2YP (GGA-PBE, relaxed)
# ΔE_f (eV per atom): -0.08
# Magnetic moment (μB per formula unit): 0.000
data_Sr2YP
_cell_length_a 4.7327
_cell_length_b 4.7327
_cell_length_c 11.3160
_cell_angle_alpha 90.00
_cell_angle_beta 90.00
_cell_angle_gamma 90.00
_space_group_name_H-M_alt 'I -4 m 2'
_space_group_IT_number 119
_space_group_name_Hall 'I -4 -2'
loop_
_atom_site_label
_atom_site_type_symbol
_atom_site_fract_x
_atom_site_fract_y
_atom_site_fract_z
Sr1 Sr 0.0000 0.0000 0.0000
Sr2 Sr 0.0000 0.5000 0.2500
Y1 Y 0.0000 0.5000 0.7500
P1 P 0.0000 0.0000 0.5000

# HfBeZn2 (GGA-PBE, relaxed)
# ΔE_f (eV per atom): -0.07
# Magnetic moment (μB per formula unit): 0.000
data_HfBeZn2
_cell_length_a 3.8023
_cell_length_b 3.8023
_cell_length_c 4.1817
_cell_angle_alpha 90.00
_cell_angle_beta 90.00
_cell_angle_gamma 90.00
_space_group_name_H-M_alt 'P 4/m m m'
_space_group_IT_number 123
_space_group_name_Hall '-P 4 2'
loop_
_atom_site_label
_atom_site_type_symbol
_atom_site_fract_x
_atom_site_fract_y
_atom_site_fract_z
Hf1 Hf 0.0000 0.0000 0.0000
Be1 Be 0.5000 0.5000 0.0000
Zn1 Zn 0.0000 0.5000 0.5000

# In2PdN (GGA-PBE, relaxed)
# Magnetic moment (μB per formula unit): 0.000
# Energy relative to the elements, uncorrected (kJ/mol of formula units): 51.7
data_In2PdN
_cell_length_a 6.3155
_cell_length_b 6.3155
_cell_length_c 7.5775
_cell_angle_alpha 90.00
_cell_angle_beta 90.00
_cell_angle_gamma 90.00
_space_group_name_H-M_alt 'I -4 2 d'
_space_group_IT_number 122
_space_group_name_Hall 'I -4 2bw'
loop_
_atom_site_label
_atom_site_type_symbol
_atom_site_fract_x
_atom_site_fract_y
_atom_site_fract_z
In1 In 0.1848 0.2500 0.1250
Pd1 Pd 0.0000 0.0000 0.5000
N1 N 0.0000 0.0000 0.0000